Entry 1:
Compound: AsPtI2O
Source: the Alexandria database
Functional: meta-GGA SCAN
Structure: single point on PBEsol structure

It has space group P4/mmm (No. 123), with a = 5.5094 Å, b = 5.5094 Å, c = 3.7620 Å, α = 90.00°, β = 90.00° and γ = 90.00°. The asymmetric unit holds As at (0.0000, 0.0000, 0.0000), Pt at (0.5000, 0.5000, 0.5000), I at (0.0000, 0.5000, 0.5000) and O at (0.5000, 0.5000, 0.0000).

The value obtained for the density of states at the Fermi level is 2.727 states/eV/cell. For the volume, the calculation gives 22.8 A^3/atom. The value obtained for the uncorrected formation energy is 0.3278 eV per atom.

Entry 2:
Compound: RbAsI2O
Source: the Alexandria database
Functional: meta-GGA SCAN
Structure: single point on PBEsol structure

It has space group P4/mmm (No. 123), with a = 6.0106 Å, b = 6.0106 Å, c = 3.8840 Å, α = 90.00°, β = 90.00° and γ = 90.00°. The asymmetric unit holds Rb at (0.0000, 0.0000, 0.0000), As at (0.5000, 0.5000, 0.5000), I at (0.0000, 0.5000, 0.5000) and O at (0.5000, 0.5000, 0.0000).

The value obtained for the density of states at the Fermi level is 0.744 states/eV/cell. For the volume, the calculation gives 28.1 A^3/atom. The value obtained for the uncorrected formation energy is -0.8144 eV per atom.

Entry 3:
Compound: AsRuI2O
Source: the Alexandria database
Functional: meta-GGA SCAN
Structure: single point on PBEsol structure

It has space group P4/mmm (No. 123), with a = 5.4361 Å, b = 5.4361 Å, c = 3.6622 Å, α = 90.00°, β = 90.00° and γ = 90.00°. The asymmetric unit holds As at (0.0000, 0.0000, 0.0000), Ru at (0.5000, 0.5000, 0.5000), I at (0.0000, 0.5000, 0.5000) and O at (0.5000, 0.5000, 0.0000).

The value obtained for the density of states at the Fermi level is 3.365 states/eV/cell. For the volume, the calculation gives 21.6 A^3/atom. The value obtained for the uncorrected formation energy is 0.1648 eV per atom.

Entry 4:
Compound: ScAsIO2
Source: the Alexandria database
Functional: meta-GGA SCAN
Structure: single point on PBEsol structure

It has space group P4/mmm (No. 123), with a = 4.0454 Å, b = 4.0454 Å, c = 6.0868 Å, α = 90.00°, β = 90.00° and γ = 90.00°. The asymmetric unit holds Sc at (0.0000, 0.0000, 0.0000), As at (0.5000, 0.5000, 0.5000), I at (0.0000, 0.0000, 0.5000) and O at (0.0000, 0.5000, 0.0000).

The value obtained for the density of states at the Fermi level is 1.987 states/eV/cell. For the volume, the calculation gives 19.9 A^3/atom. The value obtained for the uncorrected formation energy is -1.0791 eV per atom.

Entry 5:
Compound: TeAsI2O
Source: the Alexandria database
Functional: meta-GGA SCAN
Structure: single point on PBEsol structure

It has space group P4/mmm (No. 123), with a = 5.9260 Å, b = 5.9260 Å, c = 3.9783 Å, α = 90.00°, β = 90.00° and γ = 90.00°. The asymmetric unit holds Te at (0.0000, 0.0000, 0.0000), As at (0.5000, 0.5000, 0.5000), I at (0.0000, 0.5000, 0.0000) and O at (0.0000, 0.0000, 0.5000).

The value obtained for the density of states at the Fermi level is 3.794 states/eV/cell. For the volume, the calculation gives 27.9 A^3/atom. The value obtained for the uncorrected formation energy is 0.3621 eV per atom.

Entry 6:
Compound: ZrAsIO2
Source: the Alexandria database
Functional: meta-GGA SCAN
Structure: single point on PBEsol structure

It has space group P4/mmm (No. 123), with a = 4.0747 Å, b = 4.0747 Å, c = 6.1285 Å, α = 90.00°, β = 90.00° and γ = 90.00°. The asymmetric unit holds Zr at (0.0000, 0.0000, 0.0000), As at (0.5000, 0.5000, 0.5000), I at (0.0000, 0.0000, 0.5000) and O at (0.0000, 0.5000, 0.0000).

The value obtained for the density of states at the Fermi level is 0.978 states/eV/cell. For the volume, the calculation gives 20.4 A^3/atom. The value obtained for the uncorrected formation energy is -1.3563 eV per atom.